Entry from Alexandria: an optimized crystal structure of SrS (GGA-PBE).

CIF file:
```
data_SrS
_cell_length_a 4.140
_cell_length_b 4.140
_cell_length_c 3.784
_cell_angle_alpha 90.00
_cell_angle_beta 90.00
_cell_angle_gamma 120.00
_space_group_name_H-M_alt 'P 1'
_space_group_IT_number 1
_space_group_name_Hall 'P 1'
loop_
_atom_site_label
_atom_site_type_symbol
_atom_site_fract_x
_atom_site_fract_y
_atom_site_fract_z
S1 S 0.667 0.333 0.000
Sr1 Sr 0.000 0.000 0.500
```

Computed properties:
**Uncorrected formation energy**: -1.97 eV/atom
**Energy above the most stable polymorph in this dataset**: 179 meV/atom